Entry 1:
First-principles (PBE) data for an optimized crystal structure of In2SnS5, as listed in Alexandria via LeMat-Bulk. Values from VASP.

Structure (Quantum ESPRESSO input):
```
&SYSTEM
  ibrav = 0, nat = 8, ntyp = 3
/
ATOMIC_SPECIES
In 114.82 In.upf
Sn 118.71 Sn.upf
S 32.06 S.upf
ATOMIC_POSITIONS crystal
In 0.0000 0.0000 0.0000
In 0.4429 0.3973 0.8353
Sn 0.0029 0.6034 0.5827
S 0.0343 0.6323 0.9253
S 0.2144 0.8432 0.2870
S 0.2552 0.2156 0.6709
S 0.6122 0.1818 0.1336
S 0.6524 0.6381 0.5149
CELL_PARAMETERS angstrom
6.4389 0.0000 0.0000
2.1202 6.2237 0.0000
2.2061 1.8924 6.2226
```

Calculated values
energy above the lowest structure with this stoichiometry = 0.000 eV per atom
uncorrected formation energy = -390 meV/atom
total DFT energy (no corrections) = -4.154 eV per atom
magnetization = 0.00 μB per cell
space group = P1, No. 1
density of states at the Fermi level = 0.000 states/eV/cell
V = 249.36 Å³ per cell



Entry 2:
First-principles (PBE) data for an optimized crystal structure of YZn20Ru2, as listed in Alexandria via LeMat-Bulk. Values from VASP.

Structure (Quantum ESPRESSO input):
```
&SYSTEM
  ibrav = 0, nat = 46, ntyp = 3
/
ATOMIC_SPECIES
Y 88.91 Y.upf
Zn 65.41 Zn.upf
Ru 101.07 Ru.upf
ATOMIC_POSITIONS crystal
Y 0.1250 0.1250 0.1250
Y 0.8750 0.8750 0.8750
Zn 0.0000 0.0000 0.0000
Zn 0.0000 0.0000 0.5000
Zn 0.0000 0.5000 0.0000
Zn 0.0564 0.3249 0.3249
Zn 0.0564 0.3249 0.7939
Zn 0.0564 0.7939 0.3249
Zn 0.2061 0.6751 0.6751
Zn 0.2061 0.6751 0.9436
Zn 0.2061 0.9436 0.6751
Zn 0.2382 0.2382 0.5118
Zn 0.2382 0.5118 0.2382
Zn 0.2382 0.5118 0.5118
Zn 0.3249 0.0564 0.3249
Zn 0.3249 0.0564 0.7939
Zn 0.3249 0.3249 0.0564
Zn 0.3249 0.3249 0.7939
Zn 0.3249 0.7939 0.0564
Zn 0.3249 0.7939 0.3249
Zn 0.4882 0.4882 0.7618
Zn 0.4882 0.7618 0.4882
Zn 0.4882 0.7618 0.7618
Zn 0.5000 0.0000 0.0000
Zn 0.5118 0.2382 0.2382
Zn 0.5118 0.2382 0.5118
Zn 0.5118 0.5118 0.2382
Zn 0.6751 0.2061 0.6751
Zn 0.6751 0.2061 0.9436
Zn 0.6751 0.6751 0.2061
Zn 0.6751 0.6751 0.9436
Zn 0.6751 0.9436 0.2061
Zn 0.6751 0.9436 0.6751
Zn 0.7618 0.4882 0.4882
Zn 0.7618 0.4882 0.7618
Zn 0.7618 0.7618 0.4882
Zn 0.7939 0.0564 0.3249
Zn 0.7939 0.3249 0.0564
Zn 0.7939 0.3249 0.3249
Zn 0.9436 0.2061 0.6751
Zn 0.9436 0.6751 0.2061
Zn 0.9436 0.6751 0.6751
Ru 0.0000 0.5000 0.5000
Ru 0.5000 0.0000 0.5000
Ru 0.5000 0.5000 0.0000
Ru 0.5000 0.5000 0.5000
CELL_PARAMETERS angstrom
0.0000 7.1233 7.1233
7.1233 0.0000 7.1233
7.1233 7.1233 0.0000
```

Calculated values
total DFT energy (no corrections) = -2.380 eV per atom
magnetization = 0.00 μB per cell
space group = Fd-3m, No. 227
density of states at the Fermi level = 19.956 states/eV/cell
V = 722.90 Å³ per cell
formation energy from the elements = -0.185 eV/atom



Entry 3:
First-principles (PBE) data for an optimized crystal structure of Pm3Ge5Mo, as listed in Alexandria via LeMat-Bulk. Values from VASP.

Structure (Quantum ESPRESSO input):
```
&SYSTEM
  ibrav = 0, nat = 18, ntyp = 3
/
ATOMIC_SPECIES
Pm 145.00 Pm.upf
Ge 72.64 Ge.upf
Mo 95.94 Mo.upf
ATOMIC_POSITIONS crystal
Pm 0.0000 0.3828 0.2500
Pm 0.0000 0.6172 0.7500
Pm 0.3828 0.0000 0.2500
Pm 0.3828 0.3828 0.7500
Pm 0.6172 0.0000 0.7500
Pm 0.6172 0.6172 0.2500
Ge 0.0000 0.2534 0.7500
Ge 0.0000 0.7466 0.2500
Ge 0.2534 0.0000 0.7500
Ge 0.2534 0.2534 0.2500
Ge 0.3333 0.6667 0.0000
Ge 0.3333 0.6667 0.5000
Ge 0.6667 0.3333 0.0000
Ge 0.6667 0.3333 0.5000
Ge 0.7466 0.0000 0.2500
Ge 0.7466 0.7466 0.7500
Mo 0.0000 0.0000 0.0000
Mo 0.0000 0.0000 0.5000
CELL_PARAMETERS angstrom
8.8128 0.0000 0.0000
-4.4064 7.6321 0.0000
0.0000 0.0000 5.7850
```

Calculated values
total DFT energy (no corrections) = -5.933 eV per atom
magnetization = 0.00 μB per cell
space group = P6_3/mcm, No. 193
density of states at the Fermi level = 4.110 states/eV/cell
V = 389.10 Å³ per cell
formation energy from the elements = -0.580 eV/atom



Entry 4:
First-principles (PBE) data for an optimized crystal structure of Li2YGaAu, as listed in Alexandria via LeMat-Bulk. Values from VASP.

Structure (Quantum ESPRESSO input):
```
&SYSTEM
  ibrav = 0, nat = 5, ntyp = 4
/
ATOMIC_SPECIES
Li 6.94 Li.upf
Y 88.91 Y.upf
Ga 69.72 Ga.upf
Au 196.97 Au.upf
ATOMIC_POSITIONS crystal
Li 0.0000 0.5000 0.0000
Li 0.5000 0.0000 0.0000
Y 0.0000 0.0000 0.0000
Ga 0.5000 0.5000 0.5000
Au 0.0000 0.0000 0.5000
CELL_PARAMETERS angstrom
5.7957 0.0000 0.0000
0.0000 5.7957 0.0000
0.0000 0.0000 5.3232
```

Calculated values
total DFT energy (no corrections) = -2.526 eV per atom
magnetization = 0.00 μB per cell
space group = P4/mmm, No. 123
density of states at the Fermi level = 4.456 states/eV/cell
V = 178.81 Å³ per cell
formation energy from the elements = 0.793 eV/atom



Entry 5:
First-principles (PBE) data for an optimized crystal structure of Tb3Dy2Te8, as listed in Alexandria via LeMat-Bulk. Values from VASP.

Structure (Quantum ESPRESSO input):
```
&SYSTEM
  ibrav = 0, nat = 13, ntyp = 3
/
ATOMIC_SPECIES
Tb 158.93 Tb.upf
Dy 162.50 Dy.upf
Te 127.60 Te.upf
ATOMIC_POSITIONS crystal
Tb 0.0000 0.0000 0.0000
Tb 0.2576 0.7424 0.5000
Tb 0.7424 0.2576 0.5000
Dy 0.2503 0.2503 0.8312
Dy 0.7497 0.7497 0.1688
Te 0.1219 0.1219 0.4164
Te 0.1261 0.6290 0.0866
Te 0.3710 0.8739 0.9134
Te 0.3820 0.3820 0.6026
Te 0.6180 0.6180 0.3974
Te 0.6290 0.1261 0.0866
Te 0.8739 0.3710 0.9134
Te 0.8781 0.8781 0.5836
CELL_PARAMETERS angstrom
7.6632 -4.3550 0.0000
7.6632 4.3550 0.0000
-2.3957 0.0000 7.1191
```

Calculated values
uncorrected formation energy = -1256 meV/atom
total DFT energy (no corrections) = -4.965 eV per atom
magnetization = 0.00 μB per cell
space group = C2/m, No. 12
density of states at the Fermi level = 6.186 states/eV/cell
V = 475.17 Å³ per cell



Entry 6:
First-principles (PBE) data for an optimized crystal structure of TbDy2Cd, as listed in Alexandria via LeMat-Bulk. Values from VASP.

Structure (Quantum ESPRESSO input):
```
&SYSTEM
  ibrav = 0, nat = 4, ntyp = 3
/
ATOMIC_SPECIES
Tb 158.93 Tb.upf
Dy 162.50 Dy.upf
Cd 112.41 Cd.upf
ATOMIC_POSITIONS crystal
Tb 0.0000 0.0000 0.0000
Dy 0.2446 0.2446 0.2446
Dy 0.7554 0.7554 0.7554
Cd 0.5000 0.5000 0.5000
CELL_PARAMETERS angstrom
1.7824 1.0290 10.8008
-1.7824 1.0290 10.8008
0.0000 -2.0581 10.8008
```

Calculated values
energy above the lowest structure with this stoichiometry = 0.072 eV per atom
total DFT energy (no corrections) = -3.762 eV per atom
magnetization = 0.00 μB per cell
space group = R-3m, No. 166
density of states at the Fermi level = 3.954 states/eV/cell
V = 118.86 Å³ per cell
formation energy from the elements = -0.075 eV/atom



Entry 7:
First-principles (PBE) data for an optimized crystal structure of SrTcO3, as listed in Alexandria via LeMat-Bulk. Values from VASP.

Structure (Quantum ESPRESSO input):
```
&SYSTEM
  ibrav = 0, nat = 10, ntyp = 3
/
ATOMIC_SPECIES
Sr 87.62 Sr.upf
Tc 98.00 Tc.upf
O 16.00 O.upf
ATOMIC_POSITIONS crystal
Sr 0.1303 0.1303 0.3847
Sr 0.8697 0.8697 0.6153
Tc 0.3890 0.3890 0.1648
Tc 0.6110 0.6110 0.8352
O 0.0403 0.0403 0.7063
O 0.1285 0.1285 0.0213
O 0.3059 0.3059 0.3667
O 0.6941 0.6941 0.6333
O 0.8715 0.8715 0.9787
O 0.9597 0.9597 0.2937
CELL_PARAMETERS angstrom
7.2019 -1.5787 0.0000
7.2019 1.5787 0.0000
-0.4702 0.0000 6.7476
```

Calculated values
uncorrected formation energy = -1680 meV/atom
total DFT energy (no corrections) = -7.064 eV per atom
magnetization = 2.05 μB per cell
space group = C2/m, No. 12
density of states at the Fermi level = 1.612 states/eV/cell
V = 153.44 Å³ per cell



Entry 8:
First-principles (PBE) data for an optimized crystal structure of FeSb2Pd, as listed in Alexandria via LeMat-Bulk. Values from VASP.

Structure (Quantum ESPRESSO input):
```
&SYSTEM
  ibrav = 0, nat = 8, ntyp = 3
/
ATOMIC_SPECIES
Fe 55.84 Fe.upf
Sb 121.76 Sb.upf
Pd 106.42 Pd.upf
ATOMIC_POSITIONS crystal
Fe 0.0000 0.0000 0.0000
Fe 0.7500 0.2500 0.5000
Sb 0.1133 0.6250 0.9883
Sb 0.3750 0.3633 0.4883
Sb 0.6367 0.1250 0.0117
Sb 0.8750 0.8867 0.5117
Pd 0.2500 0.7500 0.5000
Pd 0.5000 0.5000 0.0000
CELL_PARAMETERS angstrom
-2.2570 2.2570 8.3791
2.2570 -2.2570 8.3791
2.2570 2.2570 -8.3791
```

Calculated values
uncorrected formation energy = 123 meV/atom
total DFT energy (no corrections) = -5.352 eV per atom
magnetization = 4.80 μB per cell
space group = I-42d, No. 122
density of states at the Fermi level = 5.571 states/eV/cell
V = 170.73 Å³ per cell